Entry 1:
VASP calculation (PBE) on a relaxed Sr2MnIr crystal.

POSCAR file:
```
Sr2MnIr
1.0
7.335 0.000 0.000
0.000 7.335 0.000
0.000 0.000 7.335
Sr Mn Ir
8 4 4
direct
0.250 0.250 0.250 Sr
0.250 0.250 0.750 Sr
0.250 0.750 0.250 Sr
0.250 0.750 0.750 Sr
0.750 0.250 0.250 Sr
0.750 0.250 0.750 Sr
0.750 0.750 0.250 Sr
0.750 0.750 0.750 Sr
0.000 0.000 0.000 Mn
0.000 0.500 0.500 Mn
0.500 0.000 0.500 Mn
0.500 0.500 0.000 Mn
0.000 0.000 0.500 Ir
0.000 0.500 0.000 Ir
0.500 0.000 0.000 Ir
0.500 0.500 0.500 Ir
```

## Properties
**DFT formation energy**: 0.921 eV/atom
**ΔE to the lowest computed polymorph**: 0.890 eV/atom
**Crystal system**: cubic

***

Entry 2:
VASP calculation (PBE) on a relaxed As4Au crystal.

POSCAR file:
```
As4Au
1.0
5.015 0.000 0.000
0.000 5.015 0.000
0.000 0.000 5.015
As Au
4 1
direct
0.000 0.000 0.000 As
0.000 0.500 0.500 As
0.500 0.000 0.500 As
0.500 0.500 0.000 As
0.500 0.500 0.500 Au
```

## Properties
**DFT formation energy**: 0.995 eV/atom
**ΔE to the lowest computed polymorph**: 0.984 eV/atom
**Crystal system**: cubic

***

Entry 3:
VASP calculation (PBE) on a relaxed Zn5Fe3 crystal.

POSCAR file:
```
Zn5Fe3
1.0
7.194 0.000 0.000
0.000 7.776 0.000
0.000 0.000 3.728
Zn Fe
10 6
direct
0.000 0.000 0.000 Zn
0.000 0.254 0.500 Zn
0.000 0.746 0.500 Zn
0.250 0.250 0.000 Zn
0.250 0.750 0.000 Zn
0.500 0.246 0.500 Zn
0.500 0.500 0.000 Zn
0.500 0.754 0.500 Zn
0.750 0.250 0.000 Zn
0.750 0.750 0.000 Zn
0.000 0.500 0.000 Fe
0.242 0.500 0.500 Fe
0.258 0.000 0.500 Fe
0.500 0.000 0.000 Fe
0.742 0.000 0.500 Fe
0.758 0.500 0.500 Fe
```

## Properties
**DFT formation energy**: 0.002 eV/atom
**ΔE to the lowest computed polymorph**: 0.000 eV/atom
**Crystal system**: orthorhombic

***

> The lowest DFT formation energy belongs to which entry?

Zn5Fe3

***

> Which of these has the highest ΔE to the lowest computed polymorph?

As4Au

***

> What is the ΔE to the lowest computed polymorph in the first record?

0.890 eV/atom

***

> Number 1 is which compound?

Sr2MnIr